! ScTlCr2, relaxed, DFT GGA-PBE; values from VASP
! DOS at the Fermi energy: 1.280 states/eV per atom
! V: 18.7 Å³/atom
! Electronic total energy: -6.501 eV/atom
! Energy of formation: 0.49 eV/atom
&SYSTEM
  ibrav = 0, nat = 4, ntyp = 3
/
ATOMIC_SPECIES
Sc 44.96 Sc.upf
Tl 204.38 Tl.upf
Cr 52.00 Cr.upf
ATOMIC_POSITIONS crystal
Sc 0.000 0.000 0.000
Tl 0.500 0.000 0.500
Cr 0.374 0.500 0.826
Cr 0.626 0.500 0.174
CELL_PARAMETERS angstrom
3.048 0.000 0.000
0.000 4.632 0.000
-0.407 0.000 5.293